Compound: Be2AlHg
Source: Alexandria
Functional: GGA-PBE
Structure: optimized geometry

Geometry as CIF:
```
data_Be2AlHg
_symmetry_space_group_name_H-M 'C 1 2/m 1'
_symmetry_Int_Tables_number 12
_symmetry_space_group_name_Hall '-C 2y'
_cell_length_a 8.1040
_cell_length_b 3.1200
_cell_length_c 4.7017
_cell_angle_alpha 90.00
_cell_angle_beta 95.95
_cell_angle_gamma 90.00
loop_
_atom_site_label
_atom_site_type_symbol
_atom_site_fract_x
_atom_site_fract_y
_atom_site_fract_z
_atom_site_occupancy
Be1 Be 0.2335 0.0000 0.1815 1
Al1 Al 0.0000 0.5000 0.0000 1
Hg1 Hg 0.0000 0.0000 0.5000 1
```

- V (Å³ per cell) = 118.2
- DOS at the Fermi energy (states/eV/f.u.) = 0.76
- energy of formation from the pure elements (eV/f.u.) = 1.52
- mass density (g cm⁻³) = 6.898
- crystal system = monoclinic


Compound: CuMoSCl2
Source: Alexandria
Functional: GGA-PBE
Structure: optimized geometry

Geometry as CIF:
```
data_CuMoSCl2
_symmetry_space_group_name_H-M 'P 4/m m m'
_symmetry_Int_Tables_number 123
_symmetry_space_group_name_Hall '-P 4 2'
_cell_length_a 4.9349
_cell_length_b 4.9349
_cell_length_c 4.6213
_cell_angle_alpha 90.00
_cell_angle_beta 90.00
_cell_angle_gamma 90.00
loop_
_atom_site_label
_atom_site_type_symbol
_atom_site_fract_x
_atom_site_fract_y
_atom_site_fract_z
_atom_site_occupancy
Cu1 Cu 0.0000 0.0000 0.0000 1
Mo1 Mo 0.5000 0.5000 0.5000 1
S1 S 0.5000 0.5000 0.0000 1
Cl1 Cl 0.0000 0.5000 0.5000 1
```

- V (Å³ per cell) = 112.5
- uncorrected formation energy (kcal/mol of atoms) = 3.77
- DOS at the Fermi energy (states/eV/f.u.) = 3.36
- mass density (g cm⁻³) = 3.872
- crystal system = tetragonal


Compound: NaTlZnBi
Source: Alexandria
Functional: GGA-PBE
Structure: optimized geometry

Geometry as CIF:
```
data_NaTlZnBi
_symmetry_space_group_name_H-M 'F -4 3 m'
_symmetry_Int_Tables_number 216
_symmetry_space_group_name_Hall 'F -4 2 3'
_cell_length_a 7.4995
_cell_length_b 7.4995
_cell_length_c 7.4995
_cell_angle_alpha 90.00
_cell_angle_beta 90.00
_cell_angle_gamma 90.00
loop_
_atom_site_label
_atom_site_type_symbol
_atom_site_fract_x
_atom_site_fract_y
_atom_site_fract_z
_atom_site_occupancy
Na1 Na 0.0000 0.0000 0.0000 1
Tl1 Tl 0.2500 0.2500 0.2500 1
Zn1 Zn 0.0000 0.0000 0.5000 1
Bi1 Bi 0.2500 0.2500 0.7500 1
```

- V (Å³ per cell) = 421.8
- DOS at the Fermi energy (states/eV/f.u.) = 1.89
- energy of formation from the pure elements (eV/f.u.) = -0.19
- mass density (g cm⁻³) = 7.901
- crystal system = cubic


Compound: CsNaPb4
Source: Alexandria
Functional: GGA-PBE
Structure: optimized geometry

Geometry as CIF:
```
data_CsNaPb4
_symmetry_space_group_name_H-M 'F -4 3 m'
_symmetry_Int_Tables_number 216
_symmetry_space_group_name_Hall 'F -4 2 3'
_cell_length_a 9.6161
_cell_length_b 9.6161
_cell_length_c 9.6161
_cell_angle_alpha 90.00
_cell_angle_beta 90.00
_cell_angle_gamma 90.00
loop_
_atom_site_label
_atom_site_type_symbol
_atom_site_fract_x
_atom_site_fract_y
_atom_site_fract_z
_atom_site_occupancy
Cs1 Cs 0.0000 0.0000 0.0000 1
Na1 Na 0.2500 0.2500 0.2500 1
Pb1 Pb 0.1234 0.1234 0.6234 1
```

- V (Å³ per cell) = 889.2
- DOS at the Fermi energy (states/eV/f.u.) = 8.78
- energy of formation from the pure elements (eV/f.u.) = -0.26
- mass density (g cm⁻³) = 7.356
- crystal system = cubic


Compound: PrNd8Dy2
Source: Alexandria
Functional: GGA-PBE
Structure: optimized geometry

Geometry as CIF:
```
data_PrNd8Dy2
_symmetry_space_group_name_H-M 'C 1 2/m 1'
_symmetry_Int_Tables_number 12
_symmetry_space_group_name_Hall '-C 2y'
_cell_length_a 17.0292
_cell_length_b 6.8263
_cell_length_c 6.7625
_cell_angle_alpha 90.00
_cell_angle_beta 99.68
_cell_angle_gamma 90.00
loop_
_atom_site_label
_atom_site_type_symbol
_atom_site_fract_x
_atom_site_fract_y
_atom_site_fract_z
_atom_site_occupancy
Pr1 Pr 0.0000 0.0000 0.0000 1
Nd1 Nd 0.0887 0.2625 0.4111 1
Nd2 Nd 0.0932 0.5000 0.9137 1
Nd3 Nd 0.2443 0.0000 0.3160 1
Dy1 Dy 0.2016 0.0000 0.8059 1
```

- V (Å³ per cell) = 774.9
- DOS at the Fermi energy (states/eV/f.u.) = 18.37
- energy of formation from the pure elements (eV/f.u.) = 1.77
- mass density (g cm⁻³) = 6.942
- crystal system = monoclinic


Compound: Ac3TlPb3
Source: Alexandria
Functional: GGA-PBE
Structure: optimized geometry

Geometry as CIF:
```
data_Ac3TlPb3
_symmetry_space_group_name_H-M 'P 63/m'
_symmetry_Int_Tables_number 176
_symmetry_space_group_name_Hall '-P 6c'
_cell_length_a 9.9468
_cell_length_b 9.9468
_cell_length_c 6.8744
_cell_angle_alpha 90.00
_cell_angle_beta 90.00
_cell_angle_gamma 120.00
loop_
_atom_site_label
_atom_site_type_symbol
_atom_site_fract_x
_atom_site_fract_y
_atom_site_fract_z
_atom_site_occupancy
Ac1 Ac 0.0588 0.3778 0.2500 1
Tl1 Tl 0.3333 0.6667 0.7500 1
Pb1 Pb 0.0519 0.3431 0.7500 1
```

- V (Å³ per cell) = 589.0
- DOS at the Fermi energy (states/eV/f.u.) = 2.25
- energy of formation from the pure elements (eV/f.u.) = -2.05
- mass density (g cm⁻³) = 8.497
- crystal system = hexagonal


Compound: LaTlFe2
Source: Alexandria
Functional: GGA-PBE
Structure: optimized geometry

Geometry as CIF:
```
data_LaTlFe2
_symmetry_space_group_name_H-M 'P 1 2/m 1'
_symmetry_Int_Tables_number 10
_symmetry_space_group_name_Hall '-P 2y'
_cell_length_a 3.9625
_cell_length_b 4.3010
_cell_length_c 5.5510
_cell_angle_alpha 90.00
_cell_angle_beta 90.12
_cell_angle_gamma 90.00
loop_
_atom_site_label
_atom_site_type_symbol
_atom_site_fract_x
_atom_site_fract_y
_atom_site_fract_z
_atom_site_occupancy
La1 La 0.0000 0.0000 0.0000 1
Tl1 Tl 0.5000 0.0000 0.5000 1
Fe1 Fe 0.4971 0.5000 0.7989 1
```

- V (Å³ per cell) = 94.6
- DOS at the Fermi energy (states/eV/f.u.) = 5.99
- energy of formation from the pure elements (eV/f.u.) = 1.73
- mass density (g cm⁻³) = 7.986
- crystal system = monoclinic


Compound: Al2PbSe
Source: Alexandria
Functional: GGA-PBE
Structure: optimized geometry

Geometry as CIF:
```
data_Al2PbSe
_symmetry_space_group_name_H-M 'P 4/m m m'
_symmetry_Int_Tables_number 123
_symmetry_space_group_name_Hall '-P 4 2'
_cell_length_a 5.1014
_cell_length_b 5.1014
_cell_length_c 3.4556
_cell_angle_alpha 90.00
_cell_angle_beta 90.00
_cell_angle_gamma 90.00
loop_
_atom_site_label
_atom_site_type_symbol
_atom_site_fract_x
_atom_site_fract_y
_atom_site_fract_z
_atom_site_occupancy
Al1 Al 0.0000 0.5000 0.0000 1
Pb1 Pb 0.0000 0.0000 0.5000 1
Se1 Se 0.5000 0.5000 0.5000 1
```

- V (Å³ per cell) = 89.9
- uncorrected formation energy (kcal/mol of atoms) = 3.73
- DOS at the Fermi energy (states/eV/f.u.) = 1.24
- mass density (g cm⁻³) = 6.280
- crystal system = tetragonal


Compound: SrDyTeO6
Source: Alexandria
Functional: GGA-PBE
Structure: optimized geometry

Geometry as CIF:
```
data_SrDyTeO6
_symmetry_space_group_name_H-M 'P -3 1 c'
_symmetry_Int_Tables_number 163
_symmetry_space_group_name_Hall '-P 3 2c'
_cell_length_a 5.7081
_cell_length_b 5.7081
_cell_length_c 10.2315
_cell_angle_alpha 90.00
_cell_angle_beta 90.00
_cell_angle_gamma 120.00
loop_
_atom_site_label
_atom_site_type_symbol
_atom_site_fract_x
_atom_site_fract_y
_atom_site_fract_z
_atom_site_occupancy
Sr1 Sr 0.0000 0.0000 0.0000 1
Dy1 Dy 0.3333 0.6667 0.2500 1
Te1 Te 0.3333 0.6667 0.7500 1
O1 O 0.0437 0.3896 0.6436 1
```

- V (Å³ per cell) = 288.7
- uncorrected formation energy (kcal/mol of atoms) = -48.08
- DOS at the Fermi energy (states/eV/f.u.) = 6.01
- mass density (g cm⁻³) = 5.449
- crystal system = trigonal


Compound: TiV4Cr
Source: Alexandria
Functional: GGA-PBE
Structure: optimized geometry

Geometry as CIF:
```
data_TiV4Cr
_symmetry_space_group_name_H-M 'F -4 3 m'
_symmetry_Int_Tables_number 216
_symmetry_space_group_name_Hall 'F -4 2 3'
_cell_length_a 6.9682
_cell_length_b 6.9682
_cell_length_c 6.9682
_cell_angle_alpha 90.00
_cell_angle_beta 90.00
_cell_angle_gamma 90.00
loop_
_atom_site_label
_atom_site_type_symbol
_atom_site_fract_x
_atom_site_fract_y
_atom_site_fract_z
_atom_site_occupancy
Ti1 Ti 0.0000 0.0000 0.0000 1
V1 V 0.1252 0.1252 0.6252 1
Cr1 Cr 0.2500 0.2500 0.2500 1
```

- V (Å³ per cell) = 338.4
- DOS at the Fermi energy (states/eV/f.u.) = 11.14
- energy of formation from the pure elements (eV/f.u.) = 0.84
- mass density (g cm⁻³) = 5.961
- crystal system = cubic


Compound: HoAg3Cl6
Source: Alexandria
Functional: GGA-PBE
Structure: optimized geometry

Geometry as CIF:
```
data_HoAg3Cl6
_symmetry_space_group_name_H-M 'P 1 21/c 1'
_symmetry_Int_Tables_number 14
_symmetry_space_group_name_Hall '-P 2ybc'
_cell_length_a 6.9327
_cell_length_b 6.8904
_cell_length_c 12.4751
_cell_angle_alpha 90.00
_cell_angle_beta 122.20
_cell_angle_gamma 90.00
loop_
_atom_site_label
_atom_site_type_symbol
_atom_site_fract_x
_atom_site_fract_y
_atom_site_fract_z
_atom_site_occupancy
Ho1 Ho 0.0000 0.0000 0.0000 1
Ag1 Ag 0.2661 0.0383 0.7587 1
Ag2 Ag 0.5000 0.0000 0.5000 1
Cl1 Cl 0.0710 0.1782 0.4132 1
Cl2 Cl 0.2738 0.6725 0.4427 1
Cl3 Cl 0.3495 0.0993 0.2295 1
```

- V (Å³ per cell) = 504.3
- uncorrected formation energy (kcal/mol of atoms) = -26.55
- DOS at the Fermi energy (states/eV/f.u.) = 0.00
- mass density (g cm⁻³) = 4.618
- crystal system = monoclinic


Compound: YGe3As
Source: Alexandria
Functional: GGA-PBE
Structure: optimized geometry

Geometry as CIF:
```
data_YGe3As
_symmetry_space_group_name_H-M 'P m -3 m'
_symmetry_Int_Tables_number 221
_symmetry_space_group_name_Hall '-P 4 2 3'
_cell_length_a 4.9925
_cell_length_b 4.9925
_cell_length_c 4.9925
_cell_angle_alpha 90.00
_cell_angle_beta 90.00
_cell_angle_gamma 90.00
loop_
_atom_site_label
_atom_site_type_symbol
_atom_site_fract_x
_atom_site_fract_y
_atom_site_fract_z
_atom_site_occupancy
Y1 Y 0.0000 0.0000 0.0000 1
Ge1 Ge 0.0000 0.5000 0.5000 1
As1 As 0.5000 0.5000 0.5000 1
```

- V (Å³ per cell) = 124.4
- DOS at the Fermi energy (states/eV/f.u.) = 4.33
- energy of formation from the pure elements (eV/f.u.) = 1.68
- mass density (g cm⁻³) = 5.094
- crystal system = cubic